Compound: Ac5DyPb6
Source: the Alexandria database
Functional: GGA-PBE
Structure: relaxed

POSCAR file:
```
Ac5DyPb6
1.0
3.1712 -7.7442 0.0000
3.1712 7.7442 0.0000
-2.0245 0.0000 8.8872
Ac Dy Pb
5 1 6
Cartesian
0.0000 0.0000 0.0000
3.1712 2.7525 0.0000
2.1589 2.4592 4.4436
2.1589 -2.4592 4.4436
3.1712 -2.7525 0.0000
-1.0122 0.0000 4.4436
2.5374 5.2867 2.3447
1.7805 5.2867 6.5425
1.3070 0.0000 6.7237
3.0109 0.0000 2.1635
2.5374 -5.2867 2.3447
1.7805 -5.2867 6.5425
```

ΔE to the lowest computed polymorph = 0.009 eV/atom
formation energy from the elements = -454 meV/atom
space-group type = C2/m, No. 12
density = 9.67 Mg/m³
M_tot = 0.00 μB/cell

***

Compound: CaSmGd2
Source: the Alexandria database
Functional: GGA-PBE
Structure: relaxed

POSCAR file:
```
CaSmGd2
1.0
3.6416 0.0000 0.0000
0.0000 3.6416 0.0000
0.0000 0.0000 10.4750
Ca Sm Gd
1 1 2
Cartesian
0.0000 0.0000 0.0000
0.0000 0.0000 5.2375
1.8208 1.8208 2.7991
1.8208 1.8208 7.6759
```

ΔE to the lowest computed polymorph = 0.000 eV/atom
formation energy from the elements = 51 meV/atom
space-group type = P4/mmm, No. 123
density = 6.04 Mg/m³
M_tot = 15.31 μB/cell

***

Compound: MgAg2Sn2S6
Source: the Alexandria database
Functional: GGA-PBE
Structure: relaxed

POSCAR file:
```
MgAg2Sn2S6
1.0
3.2445 -5.5964 0.0000
3.2445 5.5964 0.0000
-2.3457 0.0000 6.4973
Mg Ag Sn S
1 2 2 6
Cartesian
0.0000 0.0000 0.0000
2.0716 3.7067 3.2487
2.0716 -3.7067 3.2487
3.2445 1.8757 0.0000
3.2445 -1.8757 0.0000
1.0840 1.9302 1.4892
-0.2060 0.0000 5.0579
1.0840 -1.9302 1.4892
3.0592 1.9302 5.0081
4.3491 0.0000 1.4395
3.0592 -1.9302 5.0081
```

uncorrected formation energy = -0.47 eV/atom
space-group type = C2/m, No. 12
density = 4.71 Mg/m³
M_tot = 0.00 μB/cell

***

Compound: Th6SnSe12
Source: the Alexandria database
Functional: GGA-PBE
Structure: relaxed

POSCAR file:
```
Th6SnSe12
1.0
6.5488 3.7809 3.8645
-6.5488 3.7809 3.8645
0.0000 -7.5619 3.8645
Th Sn Se
6 1 12
Cartesian
-3.3509 -3.2008 6.0621
-4.4474 1.3015 5.5314
1.0966 -4.5023 5.5314
-1.0966 4.5023 6.0621
4.4474 -1.3015 6.0621
3.3509 3.2008 5.5314
0.0000 0.0000 5.7967
-5.6303 -1.3539 6.4231
-1.6426 -5.5529 5.1704
-2.5174 -0.5866 4.5283
-3.9876 4.1990 5.1704
1.7667 -1.8869 4.5283
-0.7507 -2.4735 7.0652
0.7507 2.4735 4.5283
-1.7667 1.8869 7.0652
3.9876 -4.1990 6.4231
2.5174 0.5866 7.0652
1.6427 5.5529 6.4231
5.6303 1.3539 5.1704
```

uncorrected formation energy = -1.52 eV/atom
space-group type = R-3, No. 148
density = 7.11 Mg/m³
M_tot = 0.00 μB/cell

***

Compound: Ta2CdOs
Source: the Alexandria database
Functional: GGA-PBE
Structure: relaxed

POSCAR file:
```
Ta2CdOs
1.0
5.1467 -1.5715 0.0000
5.1467 1.5715 0.0000
-1.8185 0.0000 4.3746
Ta Cd Os
2 1 1
Cartesian
0.0000 0.0000 0.0000
1.1361 0.0000 3.3334
7.4177 0.0000 1.2575
4.4581 0.0000 2.2477
```

formation energy from the elements = 166 meV/atom
space-group type = Cm, No. 8
density = 15.59 Mg/m³
M_tot = 0.00 μB/cell

***

Compound: CePr3Dy8
Source: the Alexandria database
Functional: GGA-PBE
Structure: relaxed

POSCAR file:
```
CePr3Dy8
1.0
-4.3705 4.3705 5.6646
4.3705 -4.3705 5.6646
4.3705 4.3705 -5.6646
Ce Pr Dy
1 3 8
Cartesian
0.0000 0.0000 0.0000
4.3705 0.0000 2.8323
0.0000 0.0000 5.6646
0.0000 4.3705 2.8323
1.0850 -1.0850 2.6755
2.3400 -2.3400 5.3341
2.0305 2.0305 0.3305
-1.0850 1.0850 2.6755
3.2855 3.2855 2.9890
-2.3400 2.3400 5.3341
2.3400 2.3400 5.9950
1.0850 1.0850 8.6536
```

formation energy from the elements = 583 meV/atom
space-group type = I-42m, No. 121
density = 7.15 Mg/m³
M_tot = 0.00 μB/cell

***

Compound: SmGdCo2
Source: the Alexandria database
Functional: GGA-PBE
Structure: relaxed

POSCAR file:
```
SmGdCo2
1.0
3.3945 0.0000 0.0000
0.0000 3.3945 0.0000
0.0000 0.0000 6.7880
Sm Gd Co
1 1 2
Cartesian
0.0000 0.0000 0.0000
0.0000 0.0000 3.3940
1.6973 1.6973 1.7294
1.6973 1.6973 5.0586
```

ΔE to the lowest computed polymorph = 0.024 eV/atom
formation energy from the elements = -38 meV/atom
space-group type = P4/mmm, No. 123
density = 9.03 Mg/m³
M_tot = 7.97 μB/cell

***

Compound: TiSnOs2
Source: the Alexandria database
Functional: GGA-PBE
Structure: relaxed

POSCAR file:
```
TiSnOs2
1.0
4.4560 0.0000 0.0000
-2.2280 3.8590 0.0000
0.0000 0.0000 8.0563
Ti Sn Os
2 2 4
Cartesian
0.0000 0.0000 0.0000
0.0000 0.0000 2.9133
0.0000 2.5727 1.5783
2.2280 1.2863 6.6322
0.0000 0.0000 5.4502
0.0000 2.5727 4.3272
2.2280 1.2863 1.2224
2.2280 1.2863 3.9639
```

formation energy from the elements = -51 meV/atom
space-group type = P3m1, No. 156
density = 13.11 Mg/m³
M_tot = 0.00 μB/cell

***

Compound: Tb8Cd3Os2
Source: the Alexandria database
Functional: GGA-PBE
Structure: relaxed

POSCAR file:
```
Tb8Cd3Os2
1.0
8.8383 -4.1620 0.0000
8.8383 4.1620 0.0000
-0.1453 0.0000 4.7800
Tb Cd Os
8 3 2
Cartesian
5.7009 2.4245 1.1877
1.2503 0.0000 1.2028
5.8568 0.0000 3.6624
11.8303 2.4245 3.5923
5.7009 -2.4245 1.1877
11.6745 0.0000 1.1176
16.2809 0.0000 3.5772
11.8303 -2.4245 3.5923
8.8383 1.5844 0.0000
8.7656 0.0000 2.3900
8.8383 -1.5844 0.0000
4.0586 0.0000 1.1503
13.4727 0.0000 3.6297
```

formation energy from the elements = -124 meV/atom
space-group type = C2/m, No. 12
density = 9.39 Mg/m³
M_tot = 0.00 μB/cell

***

Compound: Sm2Cd12Ag
Source: the Alexandria database
Functional: GGA-PBE
Structure: relaxed

POSCAR file:
```
Sm2Cd12Ag
1.0
6.3155 0.0000 0.0000
0.0000 6.3155 0.0000
0.0000 0.0000 18.5913
Sm Cd Ag
4 24 2
Cartesian
1.5789 4.7367 4.6210
1.5789 4.7367 13.9703
4.7367 1.5789 4.6210
4.7367 1.5789 13.9703
0.0002 6.3153 7.5762
6.3153 0.0002 11.0151
6.3153 3.1575 7.5762
0.0002 3.1580 11.0151
0.5266 3.6844 1.2731
0.5266 5.7889 17.3182
1.5789 1.5789 3.0076
1.5789 1.5789 5.7258
1.5789 1.5789 12.8655
1.5789 1.5789 15.5837
2.6311 3.6844 17.3182
2.6311 5.7889 1.2731
3.1580 0.0002 7.5762
3.1575 6.3153 11.0151
3.1575 3.1580 7.5762
3.1580 3.1575 11.0151
3.6844 0.5266 17.3182
3.6844 2.6311 1.2731
4.7367 4.7367 3.0076
4.7367 4.7367 5.7258
4.7367 4.7367 12.8655
4.7367 4.7367 15.5837
5.7889 0.5266 1.2731
5.7889 2.6311 17.3182
1.5789 4.7367 9.2957
4.7367 1.5789 9.2957
```

formation energy from the elements = -85 meV/atom
space-group type = P4/nbm, No. 125
density = 7.87 Mg/m³
M_tot = 0.00 μB/cell

***

Compound: Li2LaSbH
Source: the Alexandria database
Functional: GGA-PBE
Structure: relaxed

POSCAR file:
```
Li2LaSbH
1.0
4.5671 0.0000 0.0000
0.0000 4.5671 0.0000
0.0000 0.0000 4.8176
Li La Sb H
2 1 1 1
Cartesian
0.0000 2.2835 0.0000
2.2835 0.0000 0.0000
0.0000 0.0000 2.4088
2.2835 2.2835 2.4088
0.0000 0.0000 0.0000
```

VASP energy = -3.86 eV/atom
space-group type = P4/mmm, No. 123
density = 4.55 Mg/m³
M_tot = 0.00 μB/cell

***

Compound: EuGaBiPb
Source: the Alexandria database
Functional: GGA-PBE
Structure: relaxed

POSCAR file:
```
EuGaBiPb
1.0
0.0000 3.9155 3.9155
3.9155 0.0000 3.9155
3.9155 3.9155 0.0000
Eu Ga Bi Pb
1 1 1 1
Cartesian
0.0000 0.0000 0.0000
1.9578 1.9578 1.9578
5.8733 5.8733 5.8733
3.9155 3.9155 3.9155
```

formation energy from the elements = -254 meV/atom
space-group type = F-43m, No. 216
density = 8.82 Mg/m³
M_tot = 7.21 μB/cell

***

Compound: Tb3YNi
Source: the Alexandria database
Functional: GGA-PBE
Structure: relaxed

POSCAR file:
```
Tb3YNi
1.0
5.3320 0.0000 0.0000
0.0000 5.3320 0.0000
0.0000 0.0000 5.3320
Tb Y Ni
3 1 1
Cartesian
0.0000 0.0000 2.6660
0.0000 2.6660 0.0000
2.6660 0.0000 0.0000
2.6660 2.6660 2.6660
0.0000 0.0000 0.0000
```

ΔE to the lowest computed polymorph = 0.141 eV/atom
formation energy from the elements = -20 meV/atom
space-group type = Pm-3m, No. 221
density = 6.84 Mg/m³
M_tot = 0.00 μB/cell

***

Compound: Pm5Co2Te2
Source: the Alexandria database
Functional: GGA-PBE
Structure: relaxed

POSCAR file:
```
Pm5Co2Te2
1.0
7.9360 -3.9428 0.0000
7.9360 3.9428 0.0000
0.0000 0.0000 7.7994
Pm Co Te
10 4 4
Cartesian
0.0000 0.0000 0.0000
6.0888 2.6668 5.1405
6.0888 1.2760 1.2408
9.7832 2.6668 5.1405
9.7832 1.2760 1.2408
7.9360 0.0000 3.8997
6.0888 -1.2760 6.5586
6.0888 -2.6668 2.6589
9.7832 -1.2760 6.5586
9.7832 -2.6668 2.6589
7.9360 2.8855 2.8646
7.9360 1.0572 6.7643
7.9360 -1.0572 1.0351
7.9360 -2.8855 4.9348
3.3061 0.0000 0.0000
4.6299 0.0000 3.8997
11.2421 0.0000 3.8997
12.5659 0.0000 0.0000
```

uncorrected formation energy = -0.64 eV/atom
space-group type = Cmce, No. 64
density = 7.47 Mg/m³
M_tot = 0.00 μB/cell

***

Compound: Ga2SiIr5
Source: the Alexandria database
Functional: GGA-PBE
Structure: relaxed

POSCAR file:
```
Ga2SiIr5
1.0
5.3391 0.0000 0.0000
0.0000 10.2778 0.0000
0.0000 0.0000 4.1310
Ga Si Ir
4 2 10
Cartesian
0.7221 1.4331 0.0000
1.9474 6.5720 0.0000
3.3916 3.7058 0.0000
4.6170 8.8446 0.0000
0.0000 5.1389 2.0655
2.6695 0.0000 2.0655
0.0000 0.0000 2.0655
0.7341 7.4393 2.0655
0.8686 4.0425 0.0000
1.8009 9.1814 0.0000
1.9354 2.3004 2.0655
2.6695 5.1389 2.0655
3.4036 7.9773 2.0655
3.5382 1.0964 0.0000
4.4704 6.2353 0.0000
4.6049 2.8384 2.0655
```

uncorrected formation energy = -0.39 eV/atom
space-group type = Pbam, No. 55
density = 16.54 Mg/m³
M_tot = 0.00 μB/cell

***

Compound: CeNp2UP4
Source: the Alexandria database
Functional: GGA-PBE
Structure: relaxed

POSCAR file:
```
CeNp2UP4
1.0
6.8460 0.0000 0.0000
0.0000 3.9968 0.0000
-2.3307 0.0000 6.5717
Ce Np U P
1 2 1 4
Cartesian
0.0000 0.0000 0.0000
2.2577 0.0000 3.2858
3.4230 1.9984 0.0000
-1.1654 1.9984 3.2858
-0.0087 0.0000 4.8994
1.1534 1.9984 1.6942
3.3620 1.9984 4.8775
4.5240 0.0000 1.6722
```

formation energy from the elements = -1047 meV/atom
space-group type = P2/m, No. 10
density = 9.01 Mg/m³
M_tot = 10.46 μB/cell

***

Compound: CuOsPt
Source: the Alexandria database
Functional: GGA-PBE
Structure: relaxed

POSCAR file:
```
CuOsPt
1.0
-1.3578 1.3578 5.7492
1.3578 -1.3578 5.7492
1.3578 1.3578 -5.7492
Cu Os Pt
1 1 1
Cartesian
0.0000 0.0000 0.0000
0.0000 0.0000 3.8811
0.0000 0.0000 7.7078
```

ΔE to the lowest computed polymorph = 0.046 eV/atom
formation energy from the elements = 200 meV/atom
space-group type = I4mm, No. 107
density = 17.58 Mg/m³
M_tot = 0.00 μB/cell

***

Compound: CaThIr2
Source: the Alexandria database
Functional: GGA-PBE
Structure: relaxed

POSCAR file:
```
CaThIr2
1.0
3.6159 0.0000 0.0000
0.0000 3.6159 0.0000
0.0000 0.0000 6.7181
Ca Th Ir
1 1 2
Cartesian
0.0000 0.0000 0.0000
0.0000 0.0000 3.3590
1.8080 1.8080 1.8405
1.8080 1.8080 4.8775
```

ΔE to the lowest computed polymorph = 0.000 eV/atom
formation energy from the elements = -613 meV/atom
space-group type = P4/mmm, No. 123
density = 12.41 Mg/m³
M_tot = 0.00 μB/cell

***

Compound: Ce2AlBRh6
Source: the Alexandria database
Functional: GGA-PBE
Structure: relaxed

POSCAR file:
```
Ce2AlBRh6
1.0
5.9065 0.0000 0.0000
2.2710 5.4555 0.0000
2.2559 1.5151 5.2580
Ce Al B Rh
2 1 1 6
Cartesian
2.4724 1.6574 1.2420
7.9610 5.3132 4.0159
0.0000 0.0000 0.0000
5.2167 3.4853 2.6290
3.7294 4.1956 1.3861
3.7308 2.4896 3.6641
5.1220 5.1374 3.8669
5.3114 1.8332 1.3911
6.7026 4.4810 1.5939
6.7040 2.7749 3.8718
```

formation energy from the elements = -644 meV/atom
space-group type = P-1, No. 2
density = 9.17 Mg/m³
M_tot = 0.30 μB/cell

***

Compound: OsPb2Se
Source: the Alexandria database
Functional: GGA-PBE
Structure: relaxed

POSCAR file:
```
OsPb2Se
1.0
5.3369 -1.6133 0.0000
5.3369 1.6133 0.0000
-2.3961 0.0000 5.6843
Os Pb Se
1 2 1
Cartesian
0.0000 0.0000 0.0000
5.1947 0.0000 2.4511
7.7691 0.0000 0.0102
2.5474 0.0000 3.8517
```

uncorrected formation energy = 0.29 eV/atom
space-group type = Cm, No. 8
density = 11.60 Mg/m³
M_tot = 0.00 μB/cell

***

Compound: SrTcSbPt2
Source: the Alexandria database
Functional: GGA-PBE
Structure: relaxed

POSCAR file:
```
SrTcSbPt2
1.0
5.1611 0.0000 0.0000
0.0000 5.1611 0.0000
0.0000 0.0000 5.8197
Sr Tc Sb Pt
1 1 1 2
Cartesian
0.0000 0.0000 0.0000
2.5805 2.5805 2.9098
0.0000 0.0000 2.9098
0.0000 2.5805 0.0000
2.5805 0.0000 0.0000
```

uncorrected formation energy = 1.87 eV/atom
space-group type = P4/mmm, No. 123
density = 7.47 Mg/m³
M_tot = 3.41 μB/cell

***

Compound: Ac5Tb2Pm4
Source: the Alexandria database
Functional: GGA-PBE
Structure: relaxed

POSCAR file:
```
Ac5Tb2Pm4
1.0
9.3434 0.0000 0.0000
0.0000 3.6981 0.0000
-0.5437 0.0000 12.5475
Ac Tb Pm
5 2 4
Cartesian
0.0000 0.0000 0.0000
1.5702 0.0000 6.5807
2.1947 0.0000 10.2535
6.6050 0.0000 2.2940
7.2295 0.0000 5.9668
3.1929 0.0000 1.5099
5.6068 0.0000 11.0376
0.5872 1.8490 3.3396
4.1208 1.8490 4.4446
4.6789 1.8490 8.1030
8.2125 1.8490 9.2079
```

formation energy from the elements = 160 meV/atom
space-group type = P2/m, No. 10
density = 7.79 Mg/m³
M_tot = 0.00 μB/cell

***

Compound: YMgIn3
Source: the Alexandria database
Functional: GGA-PBE
Structure: relaxed

POSCAR file:
```
YMgIn3
1.0
5.8555 0.0000 0.0000
0.0000 5.8555 0.0000
0.0000 0.0000 5.8555
Y Mg In
1 1 3
Cartesian
0.0000 0.0000 0.0000
2.9277 2.9277 2.9277
0.0000 0.0000 2.9277
0.0000 2.9277 0.0000
2.9277 0.0000 0.0000
```

ΔE to the lowest computed polymorph = 0.789 eV/atom
formation energy from the elements = 615 meV/atom
space-group type = Pm-3m, No. 221
density = 3.79 Mg/m³
M_tot = 0.00 μB/cell